# 1
ScMn10Si2 | PBE | relaxed

VASP energy in eV/cell: -447.338
E_form (uncorrected) in eV per atom: -0.228
M_tot in μB per formula unit: 0.05

Cell: 8.104 9.515 8.019 Å, 90.00 90.00 90.00°
Space group Cmcm (No. 63)
Inequivalent atoms, fractional coordinates:
Sc: 0.000 0.132 0.250 (multiplicity 4)
Mn: 0.000 0.175 0.607 (multiplicity 8)
Mn: 0.000 0.397 0.067 (multiplicity 8)
Mn: 0.136 0.391 0.750 (multiplicity 8)
Mn: 0.202 0.000 0.000 (multiplicity 8)
Mn: 0.249 0.121 0.750 (multiplicity 8)
Si: 0.250 0.250 0.000 (multiplicity 8)


# 2
Sc2MnSi | PBE | relaxed

VASP energy in eV/cell: -82.100
E_form (uncorrected) in eV per atom: -0.028
M_tot in μB per formula unit: 2.54

Cell: 3.1372 3.1372 26.1511 Å, 90.00 90.00 120.00°
Space group R-3m (No. 166, hexagonal axes)
Inequivalent atoms, fractional coordinates:
Sc: 0.0000 0.0000 0.2493 (multiplicity 6)
Mn: 0.0000 0.0000 0.0000 (multiplicity 3)
Si: 0.0000 0.0000 0.5000 (multiplicity 3)


# 3
Sc2MnSi2 | PBE | relaxed

VASP energy in eV/cell: -65.806
E_form (uncorrected) in eV per atom: -0.045
M_tot in μB per formula unit: 2.31

Cell: 3.441 3.441 15.720 Å, 90.00 90.00 90.00°
Space group I4/mmm (No. 139)
Inequivalent atoms, fractional coordinates:
Sc: 0.000 0.000 0.105 (multiplicity 4)
Mn: 0.000 0.000 0.500 (multiplicity 2)
Si: 0.000 0.500 0.250 (multiplicity 4)


# 4
Sc2MnSi2 | PBE | relaxed

VASP energy in eV/cell: -71.903
E_form (uncorrected) in eV per atom: -0.655
M_tot in μB per formula unit: 2.55

Cell: 6.422 6.422 4.056 Å, 90.00 90.00 90.00°
Space group P4/mbm (No. 127)
Inequivalent atoms, fractional coordinates:
Sc: 0.172 0.328 0.000 (multiplicity 4)
Mn: 0.000 0.000 0.500 (multiplicity 2)
Si: 0.135 0.635 0.500 (multiplicity 4)